Version i
This record from Alexandria via LeMat-Bulk describes a geometry-optimized ZnSbSeI2 structure. The functional is PBE.

Cell lengths 5.9328, 5.9328, 5.4984 Å; angles 90.00, 90.00, 90.00 degrees
Closest atoms and distances in Å follow each position.
Fractional coordinates of all 5 atoms:
Zn1 0.0000 0.0000 0.0000  8 I 4.04, 4 Sb 4.20
Sb1 0.5000 0.5000 0.0000  2 Se 2.75
Se1 0.5000 0.5000 0.5000  2 Sb 2.75, 4 I 2.97
I1 0.0000 0.5000 0.5000  2 Se 2.97
I2 0.5000 0.0000 0.5000  2 Se 2.97

Calculated volume, Å³ per cell: 193.5

Version ii
This record from Alexandria via LeMat-Bulk describes a geometry-optimized ZnSbSeI2 structure. The functional is PBE.

Cell lengths 5.3364, 5.3364, 5.6405 Å; angles 90.00, 90.00, 90.00 degrees
Closest atoms and distances in Å follow each position.
Fractional coordinates of all 5 atoms:
Zn1 0.0000 0.0000 0.0000  4 I 2.67, 2 Sb 2.82
Sb1 0.0000 0.0000 0.5000  2 Zn 2.82
Se1 0.5000 0.5000 0.5000  4 Sb 3.77, 8 I 3.88
I1 0.0000 0.5000 0.0000  2 Zn 2.67
I2 0.5000 0.0000 0.0000  2 Zn 2.67

Calculated volume, Å³ per cell: 160.6

Which one sits at the top of the stability order? version ii does.

Version i
This record from Alexandria via LeMat-Bulk describes a geometry-optimized ZnSb2SeI structure. The functional is PBE.

Cell lengths 5.3636, 5.3636, 5.1981 Å; angles 90.00, 90.00, 90.00 degrees
Closest atoms and distances in Å follow each position.
Fractional coordinates of all 5 atoms:
Zn1 0.0000 0.0000 0.0000  2 I 2.60, 4 Sb 2.68
Sb1 0.0000 0.5000 0.0000  2 Zn 2.68
Sb2 0.5000 0.0000 0.0000  2 Zn 2.68
Se1 0.5000 0.5000 0.5000  8 Sb 3.73, 4 I 3.79
I1 0.0000 0.0000 0.5000  2 Zn 2.60

Calculated volume, Å³ per cell: 149.5

Version ii
This record from Alexandria via LeMat-Bulk describes a geometry-optimized ZnSb2SeI structure. The functional is PBE.

Cell lengths 5.4910, 5.4910, 5.9210 Å; angles 90.00, 90.00, 90.00 degrees
Closest atoms and distances in Å follow each position.
Fractional coordinates of all 5 atoms:
Zn1 0.0000 0.0000 0.0000  4 I 3.88, 8 Sb 4.04
Sb1 0.0000 0.5000 0.5000  2 Se 2.75
Sb2 0.5000 0.0000 0.5000  2 Se 2.75
Se1 0.5000 0.5000 0.5000  4 Sb 2.75, 2 I 2.96
I1 0.5000 0.5000 0.0000  2 Se 2.96

Calculated volume, Å³ per cell: 178.5

Which one sits at the top of the stability order? version i does.

Version i
This record from Alexandria via LeMat-Bulk describes a geometry-optimized ZrSb2SeI structure. The functional is PBE.

Cell lengths 5.3226, 5.3226, 5.5451 Å; angles 90.00, 90.00, 90.00 degrees
Closest atoms and distances in Å follow each position.
Fractional coordinates of all 5 atoms:
Zr1 0.0000 0.0000 0.0000  4 I 3.76, 8 Sb 3.84
Sb1 0.0000 0.5000 0.5000  2 Se 2.66
Sb2 0.5000 0.0000 0.5000  2 Se 2.66
Se1 0.5000 0.5000 0.5000  4 Sb 2.66, 2 I 2.77
I1 0.5000 0.5000 0.0000  2 Se 2.77

Calculated volume, Å³ per cell: 157.1

Version ii
This record from Alexandria via LeMat-Bulk describes a geometry-optimized ZrSb2SeI structure. The functional is PBE.

Cell lengths 5.6503, 5.6503, 5.4320 Å; angles 90.00, 90.00, 90.00 degrees
Closest atoms and distances in Å follow each position.
Fractional coordinates of all 5 atoms:
Zr1 0.0000 0.0000 0.0000  2 I 2.72, 4 Sb 2.83
Sb1 0.0000 0.5000 0.0000  2 Zr 2.83
Sb2 0.5000 0.0000 0.0000  2 Zr 2.83
Se1 0.5000 0.5000 0.5000  8 Sb 3.92, 4 I 4.00
I1 0.0000 0.0000 0.5000  2 Zr 2.72

Calculated volume, Å³ per cell: 173.4

Which one sits at the top of the stability order? version ii does.

Version i
This record from Alexandria via LeMat-Bulk describes a geometry-optimized SiSb2I structure. The functional is PBE.

Cell lengths 7.4500, 7.4500, 7.4500 Å; angles 90.00, 90.00, 90.00 degrees
Closest atoms and distances in Å follow each position.
Fractional coordinates of all 16 atoms:
Si1 0.0000 0.0000 0.0000  8 Sb 3.23
Si2 0.0000 0.5000 0.5000  8 Sb 3.23
Si3 0.5000 0.0000 0.5000  8 Sb 3.23
Si4 0.5000 0.5000 0.0000  8 Sb 3.23
Sb1 0.2500 0.2500 0.2500  4 I 3.23, 4 Si 3.23
Sb2 0.2500 0.2500 0.7500  4 I 3.23, 4 Si 3.23
Sb3 0.2500 0.7500 0.2500  4 I 3.23, 4 Si 3.23
Sb4 0.2500 0.7500 0.7500  4 I 3.23, 4 Si 3.23
Sb5 0.7500 0.2500 0.2500  4 I 3.23, 4 Si 3.23
Sb6 0.7500 0.2500 0.7500  4 I 3.23, 4 Si 3.23
Sb7 0.7500 0.7500 0.2500  4 I 3.23, 4 Si 3.23
Sb8 0.7500 0.7500 0.7500  4 I 3.23, 4 Si 3.23
I1 0.0000 0.0000 0.5000  8 Sb 3.23
I2 0.0000 0.5000 0.0000  8 Sb 3.23
I3 0.5000 0.0000 0.0000  8 Sb 3.23
I4 0.5000 0.5000 0.5000  8 Sb 3.23

Calculated volume, Å³ per cell: 413.5

Version ii
This record from Alexandria via LeMat-Bulk describes a geometry-optimized SiSb2I structure. The functional is PBE.

Cell lengths 8.6053, 8.6053, 6.2196 Å; angles 90.00, 90.00, 90.00 degrees
Closest atoms and distances in Å follow each position.
Fractional coordinates of all 16 atoms:
Si1 0.0000 0.0000 0.0000  4 Sb 2.80, 2 I 3.11
Si2 0.0000 0.5000 0.2500  4 Sb 2.80, 2 I 3.11
Si3 0.5000 0.0000 0.7500  4 Sb 2.80, 2 I 3.11
Si4 0.5000 0.5000 0.5000  4 Sb 2.80, 2 I 3.11
Sb1 0.1881 0.7500 0.1250  2 Si 2.80
Sb2 0.2500 0.1881 0.8750  2 Si 2.80
Sb3 0.2500 0.3119 0.3750  2 Si 2.80
Sb4 0.3119 0.7500 0.6250  2 Si 2.80
Sb5 0.6881 0.2500 0.6250  2 Si 2.80
Sb6 0.7500 0.6881 0.3750  2 Si 2.80
Sb7 0.7500 0.8119 0.8750  2 Si 2.80
Sb8 0.8119 0.2500 0.1250  2 Si 2.80
I1 0.0000 0.0000 0.5000  2 Si 3.11
I2 0.0000 0.5000 0.7500  2 Si 3.11
I3 0.5000 0.0000 0.2500  2 Si 3.11
I4 0.5000 0.5000 0.0000  2 Si 3.11

Calculated volume, Å³ per cell: 460.6

Which one sits at the top of the stability order? version ii does.

Version i
This record from Alexandria via LeMat-Bulk describes a geometry-optimized SrSiSb2I structure. The functional is PBE.

Cell lengths 5.2704, 5.2704, 5.9360 Å; angles 90.00, 90.00, 90.00 degrees
Closest atoms and distances in Å follow each position.
Fractional coordinates of all 5 atoms:
Sr1 0.0000 0.0000 0.0000  4 I 3.73, 8 Sb 3.97
Si1 0.5000 0.5000 0.5000  4 Sb 2.64
Sb1 0.0000 0.5000 0.5000  2 Si 2.64
Sb2 0.5000 0.0000 0.5000  2 Si 2.64
I1 0.5000 0.5000 0.0000  2 Si 2.97

Calculated volume, Å³ per cell: 164.9

Version ii
This record from Alexandria via LeMat-Bulk describes a geometry-optimized SrSiSb2I structure. The functional is PBE.

Cell lengths 6.1664, 6.1664, 6.0035 Å; angles 90.00, 90.00, 90.00 degrees
Closest atoms and distances in Å follow each position.
Fractional coordinates of all 5 atoms:
Sr1 0.0000 0.0000 0.0000  2 I 3.00, 4 Sb 3.08
Si1 0.5000 0.5000 0.5000  8 Sb 4.30, 4 I 4.36
Sb1 0.0000 0.5000 0.0000  2 Sr 3.08
Sb2 0.5000 0.0000 0.0000  2 Sr 3.08
I1 0.0000 0.0000 0.5000  2 Sr 3.00

Calculated volume, Å³ per cell: 228.3

Which one sits at the top of the stability order? version i does.

Version i
This record from Alexandria via LeMat-Bulk describes a geometry-optimized SiSbTeI2 structure. The functional is PBE.

Cell lengths 5.3860, 5.3860, 5.5868 Å; angles 90.00, 90.00, 90.00 degrees
Closest atoms and distances in Å follow each position.
Fractional coordinates of all 5 atoms:
Si1 0.0000 0.0000 0.0000  4 I 2.69, 2 Te 2.79
Sb1 0.5000 0.5000 0.5000  4 Te 3.81, 8 I 3.88
Te1 0.0000 0.0000 0.5000  2 Si 2.79
I1 0.0000 0.5000 0.0000  2 Si 2.69
I2 0.5000 0.0000 0.0000  2 Si 2.69

Calculated volume, Å³ per cell: 162.1

Version ii
This record from Alexandria via LeMat-Bulk describes a geometry-optimized SiSbTeI2 structure. The functional is PBE.

Cell lengths 5.8862, 5.8862, 5.9291 Å; angles 90.00, 90.00, 90.00 degrees
Closest atoms and distances in Å follow each position.
Fractional coordinates of all 5 atoms:
Si1 0.0000 0.0000 0.0000  4 Te 4.16, 8 I 4.18
Sb1 0.5000 0.5000 0.5000  4 I 2.94, 2 Te 2.96
Te1 0.5000 0.5000 0.0000  2 Sb 2.96
I1 0.0000 0.5000 0.5000  2 Sb 2.94
I2 0.5000 0.0000 0.5000  2 Sb 2.94

Calculated volume, Å³ per cell: 205.4

Version iii
This record from Alexandria via LeMat-Bulk describes a geometry-optimized SiSbTeI2 structure. The functional is PBE.

Cell lengths 5.8183, 5.8183, 6.0859 Å; angles 90.00, 90.00, 90.00 degrees
Closest atoms and distances in Å follow each position.
Fractional coordinates of all 5 atoms:
Si1 0.0000 0.0000 0.0000  4 Sb 4.11, 8 I 4.21
Sb1 0.5000 0.5000 0.0000  2 Te 3.04
Te1 0.5000 0.5000 0.5000  4 I 2.91, 2 Sb 3.04
I1 0.0000 0.5000 0.5000  2 Te 2.91
I2 0.5000 0.0000 0.5000  2 Te 2.91

Calculated volume, Å³ per cell: 206.0

Which one sits at the top of the stability order? version i does.